No. 1
Compound: K2HfHgSe4
Source: Alexandria
Functional: GGA-PBE
Structure: optimized geometry

Its uncorrected formation energy is -1.007 eV/atom.

a b c (Å): 7.5959 4.0208 8.0017
angles (deg): 90.00 110.77 90.00
Space group P2/m (No. 10)
One atom of each set of equivalent atoms:
K 0.0000 0.0000 0.0000 x1
K 0.5000 0.5000 0.0000 x1
Hf 0.0000 0.5000 0.5000 x1
Hg 0.5000 0.0000 0.5000 x1
Se 0.1993 0.0000 0.7108 x2
Se 0.2482 0.5000 0.3218 x2

=====

No. 2
Compound: Si2TeIr
Source: Alexandria
Functional: GGA-PBE
Structure: optimized geometry

Its uncorrected formation energy is 0.554 eV/atom.

a b c (Å): 5.7555 7.5120 3.1809
angles (deg): 90.00 90.00 90.00
Space group Cmmm (No. 65)
One atom of each set of equivalent atoms:
Si 0.2500 0.2500 0.0000 x4
Te 0.0000 0.0000 0.5000 x2
Ir 0.0000 0.5000 0.5000 x2

=====

No. 3
Compound: FeMo2Ir
Source: Alexandria
Functional: GGA-PBE
Structure: optimized geometry

For the formation energy, the calculation gives 19.8 meV per atom. The distance to the lowest polymorph of the same formula comes out at 0.094 eV/atom.

a b c (Å): 3.8615 3.8615 7.7179
angles (deg): 90.00 90.00 90.00
Space group I-4m2 (No. 119)
One atom of each set of equivalent atoms:
Fe 0.0000 0.0000 0.0000 x2
Mo 0.0000 0.0000 0.5000 x2
Mo 0.0000 0.5000 0.2500 x2
Ir 0.0000 0.5000 0.7500 x2

=====

No. 4
Compound: TbPaTc
Source: Alexandria
Functional: GGA-PBE
Structure: optimized geometry

For the formation energy, the calculation gives 106.4 meV per atom. The distance to the lowest polymorph of the same formula comes out at 0.249 eV/atom.

a b c (Å): 3.8641 3.8641 6.1543
angles (deg): 90.00 90.00 120.00
Space group P3m1 (No. 156)
One atom of each set of equivalent atoms:
Tb 0.0000 0.0000 0.0000 x1
Pa 0.6667 0.3333 0.4817 x1
Tc 0.3333 0.6667 0.6913 x1

=====

No. 5
Compound: Ni5As
Source: Alexandria
Functional: GGA-PBE
Structure: optimized geometry

For the formation energy, the calculation gives 245.2 meV per atom.

a b c (Å): 4.6249 4.6249 4.1153
angles (deg): 90.00 90.00 120.00
Space group P6/mmm (No. 191)
One atom of each set of equivalent atoms:
Ni 0.0000 0.5000 0.0000 x3
Ni 0.3333 0.6667 0.5000 x2
As 0.0000 0.0000 0.5000 x1

=====

No. 6
Compound: CsZnI3
Source: Alexandria
Functional: GGA-PBE
Structure: optimized geometry

Its uncorrected formation energy is -0.842 eV/atom.

a b c (Å): 5.8203 5.8203 5.8203
angles (deg): 90.00 90.00 90.00
Space group Pm-3m (No. 221)
One atom of each set of equivalent atoms:
Cs 0.0000 0.0000 0.0000 x1
Zn 0.5000 0.5000 0.5000 x1
I 0.0000 0.5000 0.5000 x3